The following is a GGA+U calculation of a relaxed structure of CsReWO6, from the Alexandria database.

a b c (Å): 5.382 5.382 6.687
angles (deg): 90.00 90.00 120.00
Fractional coordinates of all 9 atoms:
Cs  0.000  0.000  0.000
Re  0.667  0.333  0.500
W  0.333  0.667  0.500
O  0.001  0.403  0.664
O  0.001  0.598  0.336
O  0.402  0.403  0.336
O  0.402  0.999  0.664
O  0.597  0.598  0.664
O  0.597  0.999  0.336

## Properties
M_tot (μB/f.u.): 2.01
Calculated total energy (eV/cell): -65.97